# NbCuSiIr | OQMD | GGA-PBE | relaxed
# - raw total energy (Ry per atom) = -0.5295
data_NbCuSiIr
_space_group_name_H-M_alt 'F -4 3 m'
_space_group_IT_number 216
_space_group_name_Hall 'F -4 2 3'
_cell_length_a 6.1438
_cell_length_b 6.1438
_cell_length_c 6.1438
_cell_angle_alpha 90.00
_cell_angle_beta 90.00
_cell_angle_gamma 90.00
loop_
_atom_site_label
_atom_site_fract_x
_atom_site_fract_y
_atom_site_fract_z
Nb1 0.0000 0.0000 0.0000
Cu1 0.2500 0.2500 0.7500
Si1 0.0000 0.0000 0.5000
Ir1 0.2500 0.2500 0.2500